Entry 1:
TlINF2 GGA-PBEsol optimized geometry; density of states at the Fermi level = 0.57 states/eV/atom; raw formation energy = -50 meV/atom; SG = P4/mmm, No. 123; final energy = -17.030 eV for the cell shown
1.0
-0.0580 0.5952 -4.2297
-4.1183 -1.1301 -0.1025
-1.2463 4.4827 0.6479
Tl N F I
1 1 2 1
Cartesian
0.0000 0.0000 0.0000 Tl
-0.6231 2.2414 0.3239 N
-2.0591 -0.5651 -0.0513 F
-0.0290 0.2976 -2.1148 F
-2.7113 1.9739 -1.8422 I

Entry 2:
WIN2F GGA-PBEsol optimized geometry; density of states at the Fermi level = 0.98 states/eV/atom; raw formation energy = 85 meV/atom; SG = P4/mmm, No. 123; final energy = -34.130 eV for the cell shown
1.0
-0.2407 -3.9643 -0.6810
3.3160 -0.5817 2.2143
-2.3419 -0.4404 3.3914
N I F W
2 1 1 1
Cartesian
-0.1204 -1.9822 -0.3405 N
1.6580 -0.2909 1.1072 N
0.3667 -2.4932 2.4623 I
-1.1709 -0.2202 1.6957 F
0.0000 0.0000 0.0000 W

Entry 3:
YI2NF GGA-PBEsol optimized geometry; density of states at the Fermi level = 0.43 states/eV/atom; raw formation energy = 249 meV/atom; SG = P4/mmm, No. 123; final energy = -19.565 eV for the cell shown
1.0
-2.9231 2.1338 -0.6566
-3.2392 -3.6212 2.6527
0.8925 2.6863 4.7570
I F N Y
2 1 1 1
Cartesian
0.4462 1.3432 2.3785 I
-1.6196 -1.8106 1.3263 I
0.0000 0.0000 0.0000 F
-1.4616 1.0669 -0.3283 N
-2.6349 0.5995 3.3765 Y

Entry 4:
ZnIN2F GGA-PBEsol optimized geometry; density of states at the Fermi level = 0.35 states/eV/atom; raw formation energy = 1879 meV/atom; SG = P4/mmm, No. 123; final energy = -12.932 eV for the cell shown
1.0
-0.1617 3.6115 -1.6104
-3.6235 0.5100 1.5076
2.5217 2.4463 5.2331
N F I Zn
2 1 1 1
Cartesian
-0.0809 1.8058 -0.8052 N
-1.8117 0.2550 0.7538 N
0.0000 0.0000 0.0000 F
1.2609 1.2232 2.6166 I
-0.6317 3.2839 2.5652 Zn